No. 1
Ba8Li2Ag | PBE-GGA | optimized geometry

Values from the calculation:
Density (kg/m3): 3718
ΔH_f (0 K) (eV/atom): -0.0008
Density of states at the Fermi level (states/eV per atom): 1.295
SG: C2/m
Total magnetic moment (μB/atom): 0.0000

Unit cell a=6.2698 b=8.3275 c=11.3470 alpha=106.14 beta=106.04 gamma=90.00
Atoms (fractional coordinates):
Ba1 0.5899 0.4268 0.1798
Ba2 0.2058 0.3116 0.4116
Ba3 0.6551 0.9723 0.3101
Ba4 0.4101 0.5732 0.8202
Ba5 0.0249 0.7929 0.0499
Ba6 0.7942 0.6884 0.5884
Ba7 0.9751 0.2071 0.9501
Ba8 0.3449 0.0277 0.6899
Ag1 0.5000 0.0000 0.0000
Li1 0.8177 0.2780 0.6354
Li2 0.1823 0.7220 0.3646

No. 2
Ba3LiAg | PBE-GGA | optimized geometry

Values from the calculation:
Density (kg/m3): 3871
ΔH_f (0 K) (eV/atom): -0.0633
Density of states at the Fermi level (states/eV per atom): 1.197
SG: P2_1/m
Total magnetic moment (μB/atom): 0.0001

Unit cell a=4.4972 b=10.2699 c=9.7845 alpha=90.00 beta=90.22 gamma=90.00
Atoms (fractional coordinates):
Li1 0.7503 0.7500 0.3435
Li2 0.2497 0.2500 0.6565
Ba1 0.7456 0.2500 0.9889
Ba2 0.7522 0.9556 0.6797
Ba3 0.2478 0.4556 0.3203
Ba4 0.7522 0.5444 0.6797
Ba5 0.2544 0.7500 0.0111
Ba6 0.2478 0.0444 0.3203
Ag1 0.7488 0.2500 0.4877
Ag2 0.2512 0.7500 0.5123

No. 3
Ba5Li4Ag4 | PBE-GGA | optimized geometry

Values from the calculation:
Density (kg/m3): 4503
ΔH_f (0 K) (eV/atom): -0.1591
Density of states at the Fermi level (states/eV per atom): 0.567
SG: I4/m
Total magnetic moment (μB/atom): 0.0000

Unit cell a=4.7838 b=9.6977 c=9.6977 alpha=86.51 beta=75.72 gamma=75.72
Atoms (fractional coordinates):
Li1 0.0960 0.4693 0.3387
Li2 0.4347 0.6613 0.4693
Li3 0.5653 0.3387 0.5307
Li4 0.9040 0.5307 0.6613
Ba1 0.7082 0.9217 0.6618
Ba2 0.6300 0.6618 0.0783
Ba3 0.3700 0.3382 0.9217
Ba4 0.2918 0.0783 0.3382
Ba5 0.0000 0.0000 0.0000
Ag1 0.9479 0.7786 0.3256
Ag2 0.7265 0.3256 0.2214
Ag3 0.2735 0.6744 0.7786
Ag4 0.0521 0.2214 0.6744

No. 4
Ba2LiAg10 | PBE-GGA | optimized geometry

Values from the calculation:
Density (kg/m3): 6580
ΔH_f (0 K) (eV/atom): -0.0156
Density of states at the Fermi level (states/eV per atom): 0.419
SG: Pbam
Total magnetic moment (μB/atom): 0.0000

Unit cell a=6.1426 b=6.3504 c=17.6018 alpha=90.00 beta=90.00 gamma=90.00
Atoms (fractional coordinates):
Ag1 0.2767 0.2739 0.0686
Ag2 0.0000 0.9938 0.1516
Ag3 0.0000 0.8647 0.5620
Ag4 0.2767 0.7739 0.4314
Ag5 0.0000 0.0881 0.6977
Ag6 0.7233 0.7261 0.9314
Ag7 0.2767 0.7261 0.9314
Ag8 0.0000 0.4938 0.3484
Ag9 0.0000 0.5881 0.8023
Ag10 0.0000 0.4119 0.1977
Ag11 0.0000 0.1353 0.4380
Ag12 0.7233 0.2261 0.5686
Ag13 0.0000 0.6353 0.0620
Ag14 0.0000 0.5062 0.6516
Ag15 0.0000 0.0062 0.8484
Ag16 0.7233 0.7739 0.4314
Ag17 0.0000 0.9119 0.3023
Ag18 0.0000 0.3647 0.9380
Ag19 0.2767 0.2261 0.5686
Ag20 0.7233 0.2739 0.0686
Ba1 0.5000 0.7381 0.6369
Ba2 0.5000 0.2381 0.8631
Ba3 0.5000 0.2619 0.3631
Ba4 0.5000 0.7619 0.1369
Li1 0.0000 0.0000 0.0000
Li2 0.0000 0.5000 0.5000

No. 5
BaLiAg | PBE-GGA | optimized geometry

Values from the calculation:
Density (kg/m3): 4758
ΔH_f (0 K) (eV/atom): -0.1039
Density of states at the Fermi level (states/eV per atom): 0.613
SG: I4mm
Total magnetic moment (μB/atom): 0.0000

Unit cell a=6.4428 b=6.4428 c=6.4428 alpha=144.91 beta=144.88 gamma=50.49
Atoms (fractional coordinates):
Li1 0.6206 0.6206 0.0000
Ag1 0.0375 0.0375 0.0000
Ba1 0.3419 0.3419 0.0000

No. 6
Ba4Li2Ag | PBE-GGA | optimized geometry

Values from the calculation:
Density (kg/m3): 2995
ΔH_f (0 K) (eV/atom): 0.0761
Density of states at the Fermi level (states/eV per atom): 0.977
SG: I4/mmm
Total magnetic moment (μB/atom): 0.0001

Unit cell a=6.3835 b=6.3835 c=10.1844 alpha=71.74 beta=71.74 gamma=90.00
Atoms (fractional coordinates):
Li1 0.6102 0.6102 0.7797
Li2 0.3898 0.3898 0.2203
Ba1 0.1867 0.1867 0.6266
Ba2 0.5000 0.0000 0.0000
Ba3 0.8133 0.8133 0.3734
Ba4 0.0000 0.5000 0.0000
Ag1 0.0000 0.0000 0.0000

No. 7
Ba2LiAg2 | PBE-GGA | optimized geometry

Values from the calculation:
Density (kg/m3): 4519
ΔH_f (0 K) (eV/atom): -0.0715
Density of states at the Fermi level (states/eV per atom): 0.708
SG: I4/mmm
Total magnetic moment (μB/atom): 0.0000

Unit cell a=6.5464 b=6.5464 c=6.2937 alpha=58.66 beta=58.66 gamma=90.00
Atoms (fractional coordinates):
Ba1 0.2500 0.7500 0.5000
Ba2 0.7500 0.2500 0.5000
Li1 0.0000 0.0000 0.0000
Ag1 0.3379 0.3379 0.3241
Ag2 0.6621 0.6621 0.6759

No. 8
BaLi8Ag4 | PBE-GGA | optimized geometry

Values from the calculation:
Density (kg/m3): 3919
ΔH_f (0 K) (eV/atom): -0.1500
Density of states at the Fermi level (states/eV per atom): 0.375
SG: I4/mmm
Total magnetic moment (μB/atom): 0.0000

Unit cell a=5.7012 b=7.3841 c=7.3841 alpha=81.43 beta=67.29 gamma=67.29
Atoms (fractional coordinates):
Li1 0.7383 0.7617 0.7617
Li2 0.5000 0.2383 0.7617
Li3 0.6450 0.3550 0.3550
Li4 0.5000 0.7617 0.2383
Li5 0.3550 0.6450 0.6450
Li6 0.0000 0.6450 0.3550
Li7 0.2617 0.2383 0.2383
Li8 0.0000 0.3550 0.6450
Ag1 0.5000 0.0000 0.5000
Ag2 0.0000 0.0000 0.5000
Ag3 0.0000 0.5000 0.0000
Ag4 0.5000 0.5000 0.0000
Ba1 0.0000 0.0000 0.0000

No. 9
Ba5Li2Ag5 | PBE-GGA | optimized geometry

Values from the calculation:
Density (kg/m3): 5013
ΔH_f (0 K) (eV/atom): -0.1809
Density of states at the Fermi level (states/eV per atom): 0.660
SG: C2/m
Total magnetic moment (μB/atom): 0.0000

Unit cell a=4.6763 b=9.0593 c=10.3026 alpha=86.53 beta=76.88 gamma=75.04
Atoms (fractional coordinates):
Ba1 0.0000 0.5000 0.5000
Ba2 0.6823 0.7153 0.9201
Ba3 0.3177 0.2847 0.0799
Ba4 0.6241 0.0733 0.6786
Ba5 0.3759 0.9267 0.3214
Ag1 0.7050 0.2400 0.3500
Ag2 0.2950 0.7600 0.6500
Ag3 0.9294 0.3140 0.8272
Ag4 0.0706 0.6860 0.1728
Ag5 0.0000 0.0000 0.0000
Li1 0.3831 0.4694 0.7645
Li2 0.6169 0.5306 0.2355

No. 10
Ba2Li3Ag | PBE-GGA | optimized geometry

Values from the calculation:
Density (kg/m3): 3634
ΔH_f (0 K) (eV/atom): -0.0342
Density of states at the Fermi level (states/eV per atom): 0.602
SG: C2/m
Total magnetic moment (μB/atom): 0.0000

Unit cell a=6.3196 b=6.3196 c=6.4604 alpha=89.93 beta=119.49 gamma=119.87
Atoms (fractional coordinates):
Li1 0.5000 0.5000 0.5000
Li2 0.5000 0.0000 0.5000
Li3 0.0000 0.0000 0.5000
Ag1 0.0000 0.0000 0.0000
Ba1 0.7491 0.3741 0.1231
Ba2 0.2509 0.6259 0.8769

No. 11
Ba3Li3Ag2 | PBE-GGA | optimized geometry

Values from the calculation:
Density (kg/m3): 3995
ΔH_f (0 K) (eV/atom): -0.1371
Density of states at the Fermi level (states/eV per atom): 0.722
SG: Cmcm
Total magnetic moment (μB/atom): 0.0000

Unit cell a=4.7513 b=6.6499 c=18.2702 alpha=90.00 beta=90.00 gamma=110.93
Atoms (fractional coordinates):
Li1 0.6523 0.3045 0.7500
Li2 0.3261 0.6523 0.5320
Li3 0.3261 0.6523 0.9680
Li4 0.3477 0.6955 0.2500
Li5 0.6739 0.3477 0.0320
Li6 0.6739 0.3477 0.4680
Ba1 0.0601 0.1203 0.8936
Ba2 0.3500 0.7000 0.7500
Ba3 0.6500 0.3000 0.2500
Ba4 0.9399 0.8797 0.3936
Ba5 0.9399 0.8797 0.1064
Ba6 0.0601 0.1203 0.6064
Ag1 0.2274 0.4549 0.3884
Ag2 0.7726 0.5451 0.6116
Ag3 0.7726 0.5451 0.8884
Ag4 0.2274 0.4549 0.1116

No. 12
Ba5LiAg4 | PBE-GGA | optimized geometry

Values from the calculation:
Density (kg/m3): 5132
ΔH_f (0 K) (eV/atom): -0.1799
Density of states at the Fermi level (states/eV per atom): 0.977
SG: P4/mmm
Total magnetic moment (μB/atom): 0.0000

Unit cell a=4.1697 b=4.1697 c=20.9394 alpha=90.00 beta=90.00 gamma=90.00
Atoms (fractional coordinates):
Li1 0.0000 0.0000 0.0000
Ba1 0.5000 0.5000 0.6947
Ba2 0.5000 0.5000 0.1138
Ba3 0.5000 0.5000 0.8862
Ba4 0.5000 0.5000 0.5000
Ba5 0.5000 0.5000 0.3053
Ag1 0.0000 0.0000 0.5969
Ag2 0.0000 0.0000 0.2065
Ag3 0.0000 0.0000 0.7935
Ag4 0.0000 0.0000 0.4031